Entry 1
## CsSnHg2Au (PBE-GGA)

Data for a relaxed structure of CsSnHg2Au.

```
data_CsSnHg2Au
_chemical_formula_sum 'Cs1 Sn1 Hg2 Au1'
_cell_length_a 5.6556
_cell_length_b 5.6556
_cell_length_c 5.4487
_cell_angle_alpha 90.00
_cell_angle_beta 90.00
_cell_angle_gamma 90.00
_symmetry_space_group_name_H-M 'P 4/m m m'
_symmetry_Int_Tables_number 123
_symmetry_space_group_name_Hall '-P 4 2'
loop_
_atom_site_label
_atom_site_type_symbol
_atom_site_fract_x
_atom_site_fract_y
_atom_site_fract_z
_atom_site_occupancy
Cs1 Cs 0.0000 0.0000 0.0000 1
Sn1 Sn 0.5000 0.5000 0.0000 1
Hg1 Hg 0.0000 0.5000 0.5000 1
Au1 Au 0.5000 0.5000 0.5000 1
```

Summary:
The size of the total moment is 0.00 μB per formula unit.

=====

Entry 2
## CsSnHg2Au (PBE-GGA)

Data for a relaxed structure of CsSnHg2Au.

```
data_CsSnHg2Au
_chemical_formula_sum 'Cs1 Sn1 Hg2 Au1'
_cell_length_a 5.9014
_cell_length_b 5.9014
_cell_length_c 5.4345
_cell_angle_alpha 90.00
_cell_angle_beta 90.00
_cell_angle_gamma 90.00
_symmetry_space_group_name_H-M 'P 4/m m m'
_symmetry_Int_Tables_number 123
_symmetry_space_group_name_Hall '-P 4 2'
loop_
_atom_site_label
_atom_site_type_symbol
_atom_site_fract_x
_atom_site_fract_y
_atom_site_fract_z
_atom_site_occupancy
Cs1 Cs 0.0000 0.0000 0.0000 1
Sn1 Sn 0.5000 0.5000 0.5000 1
Hg1 Hg 0.0000 0.5000 0.5000 1
Au1 Au 0.5000 0.5000 0.0000 1
```

Summary:
The size of the total moment is 0.00 μB per formula unit.

=====

Each structure's energy above the most stable one, in meV per atom: entry 1 93; entry 2 0.